(1)
Density functional theory data (PBE) for Ca4Tb3ErTe8 after structural relaxation.

a b c (Å): 8.784 8.915 8.784
angles (deg): 119.51 120.00 90.00
Element x y z (fractional)
Te (0.751, 0.745, 0.998)
Te (0.247, 0.745, 0.998)
Ca (0.500, 0.000, 0.500)
Te (0.753, 0.255, 0.002)
Ca (0.000, 0.000, 0.000)
Tb (0.500, 0.500, 0.500)
Te (0.753, 0.255, 0.506)
Te (0.749, 0.747, 0.498)
Tb (0.500, 0.500, 0.000)
Te (0.247, 0.745, 0.494)
Ca (0.500, 0.000, 0.000)
Tb (0.000, 0.500, 0.500)
Er (0.000, 0.500, 0.000)
Te (0.249, 0.255, 0.002)
Te (0.251, 0.253, 0.502)
Ca (0.000, 0.000, 0.500)

Properties
V = 490 Å³/cell
Fermi-level density of states = 6.08 states/eV/f.u.
crystal system = trigonal
theoretical density = 6.19 Mg/m³
formation energy (no corrections) = -23.3 eV/f.u.
space-group type = R-3m, No. 166



(2)
Density functional theory data (PBE) for Zr2ZnCoCu after structural relaxation.

a b c (Å): 4.085 7.109 6.063
angles (deg): 109.37 90.00 90.00
Element x y z (fractional)
Zr (0.250, 0.096, 0.364)
Zn (0.250, 0.538, 0.655)
Zr (0.250, 0.290, 0.973)
Zr (0.750, 0.904, 0.636)
Zr (0.750, 0.710, 0.027)
Co (0.250, 0.895, 0.898)
Co (0.750, 0.105, 0.102)
Zn (0.750, 0.462, 0.345)
Cu (0.750, 0.313, 0.671)
Cu (0.250, 0.687, 0.329)

Properties
V = 166 Å³/cell
ΔH_f (0 K) = -0.24 eV per atom
Fermi-level density of states = 4.14 states/eV/f.u.
crystal system = monoclinic
theoretical density = 7.40 Mg/m³
space-group type = P2_1/m, No. 11



(3)
Density functional theory data (PBE) for NpIBrO6 after structural relaxation.

a b c (Å): 7.705 8.627 7.861
angles (deg): 123.28 119.35 90.00
Last column: magnetic moment on the atom in μB.
Element x y z (fractional)
O (0.204, 0.967, 0.769)  -0.05
I (0.000, 0.000, 0.500)  -0.01
O (0.593, 0.343, 0.186)  -0.03
O (0.796, 0.033, 0.231)  -0.05
O (0.204, 0.303, 0.769)  -0.05
O (0.435, 0.697, 0.231)  -0.05
O (0.812, 0.062, 0.624)  -0.01
O (0.565, 0.967, 0.769)  -0.05
O (0.435, 0.033, 0.231)  -0.05
Br (0.233, 0.483, 0.467)  0.00
O (0.565, 0.303, 0.769)  -0.05
O (0.407, 0.657, 0.814)  -0.03
I (0.500, 0.000, 0.500)  -0.01
O (0.796, 0.697, 0.231)  -0.05
Br (0.767, 0.517, 0.533)  0.00
O (0.188, 0.938, 0.376)  -0.01
Np (0.500, 0.500, 0.000)  1.30
Np (0.500, 0.000, 0.000)  1.30

Properties
V = 354 Å³/cell
Fermi-level density of states = 0.74 states/eV/f.u.
crystal system = orthorhombic
theoretical density = 5.07 Mg/m³
formation energy (no corrections) = -10.4 eV/f.u.
space-group type = Imma, No. 74



(4)
Density functional theory data (PBE) for ErGaNiRh after structural relaxation.

a b c (Å): 4.502 4.502 4.502
angles (deg): 60.00 60.00 60.00
Element x y z (fractional)
Rh (0.000, 0.000, 0.000)
Ga (0.750, 0.750, 0.750)
Er (0.250, 0.250, 0.250)
Ni (0.500, 0.500, 0.500)

Properties
V = 65 Å³/cell
ΔH_f (0 K) = -0.62 eV per atom
Fermi-level density of states = 3.14 states/eV/f.u.
crystal system = cubic
theoretical density = 10.26 Mg/m³
space-group type = F-43m, No. 216



(5)
Density functional theory data (PBE) for U2Si4Ir3Os after structural relaxation.

a b c (Å): 4.149 4.149 9.728
angles (deg): 90.00 90.00 90.00
Last column: magnetic moment on the atom in μB.
Element x y z (fractional)
Ir (0.000, 0.500, 0.128)  -0.06
Si (0.500, 0.000, 0.629)  -0.01
U (0.500, 0.000, 0.247)  1.79
Si (0.000, 0.000, 0.000)  0.00
Ir (0.000, 0.000, 0.500)  -0.05
Ir (0.500, 0.000, 0.872)  -0.06
Si (0.000, 0.500, 0.371)  -0.01
U (0.000, 0.500, 0.753)  1.79
Os (0.500, 0.500, 0.500)  -0.10
Si (0.500, 0.500, 0.000)  0.00

Properties
V = 167 Å³/cell
Fermi-level density of states = 14.97 states/eV/f.u.
crystal system = tetragonal
theoretical density = 13.44 Mg/m³
formation energy (no corrections) = -7.3 eV/f.u.
space-group type = P-4m2, No. 115



(6)
Density functional theory data (PBE) for TlBiOsCl2 after structural relaxation.

a b c (Å): 4.663 5.847 4.663
angles (deg): 90.00 90.00 90.00
Element x y z (fractional)
Os (0.000, 0.000, 0.000)
Bi (0.500, 0.500, 0.500)
Cl (0.500, 0.000, 0.000)
Tl (0.000, 0.500, 0.000)
Cl (0.000, 0.000, 0.500)

Properties
V = 127 Å³/cell
Fermi-level density of states = 7.49 states/eV/f.u.
crystal system = tetragonal
theoretical density = 8.81 Mg/m³
formation energy (no corrections) = 2.6 eV/f.u.
space-group type = P4/mmm, No. 123



(7)
Density functional theory data (PBE) for GaHgB after structural relaxation.

a b c (Å): 5.670 3.802 5.497
angles (deg): 80.63 93.31 103.04
Element x y z (fractional)
Ga (0.237, 0.473, 0.614)
B (0.879, 0.053, 0.728)
Hg (0.461, 0.469, 0.147)
B (0.042, 0.885, 0.566)
Ga (0.683, 0.465, 0.680)
Hg (0.960, 0.970, 0.147)

Properties
V = 114 Å³/cell
ΔH_f (0 K) = 0.37 eV per atom
Fermi-level density of states = 0.73 states/eV/f.u.
crystal system = triclinic
theoretical density = 8.20 Mg/m³
space-group type = P-1, No. 2



(8)
Density functional theory data (PBE) for LiErPuO4 after structural relaxation.

a b c (Å): 5.670 5.670 6.872
angles (deg): 90.00 90.00 115.73
Last column: magnetic moment on the atom in μB.
Element x y z (fractional)
Pu (0.161, 0.839, 0.750)  4.13
O (0.253, 0.248, 0.250)  -0.04
O (0.752, 0.747, 0.250)  -0.04
O (0.248, 0.253, 0.750)  -0.04
Pu (0.839, 0.161, 0.250)  4.13
O (0.733, 0.267, 0.512)  -0.10
O (0.267, 0.733, 0.488)  -0.10
Li (0.845, 0.155, 0.750)  0.00
Er (0.500, 0.500, 0.500)  -0.01
Li (0.155, 0.845, 0.250)  0.00
O (0.267, 0.733, 0.012)  -0.10
O (0.747, 0.752, 0.750)  -0.04
Er (0.500, 0.500, 0.000)  -0.01
O (0.733, 0.267, 0.988)  -0.10

Properties
V = 199 Å³/cell
Fermi-level density of states = 4.99 states/eV/f.u.
crystal system = orthorhombic
theoretical density = 8.05 Mg/m³
formation energy (no corrections) = -19.5 eV/f.u.
space-group type = Cmcm, No. 63



(9)
Density functional theory data (PBE) for Cr2CoMo after structural relaxation.

a b c (Å): 4.799 4.799 4.799
angles (deg): 143.40 129.12 64.30
Last column: magnetic moment on the atom in μB.
Element x y z (fractional)
Co (0.250, 0.750, 0.500)  1.13
Cr (0.994, 0.994, 0.000)  0.08
Cr (0.506, 0.506, 0.000)  0.08
Mo (0.750, 0.250, 0.500)  0.09

Properties
V = 50 Å³/cell
ΔH_f (0 K) = 0.19 eV per atom
Fermi-level density of states = 4.85 states/eV/f.u.
crystal system = orthorhombic
theoretical density = 8.52 Mg/m³
space-group type = Immm, No. 71



(10)
Density functional theory data (PBE) for PrSmTmPb after structural relaxation.

a b c (Å): 5.577 5.577 5.577
angles (deg): 60.00 60.00 60.00
Element x y z (fractional)
Pr (0.000, 0.000, 0.000)
Tm (0.750, 0.750, 0.750)
Sm (0.500, 0.500, 0.500)
Pb (0.250, 0.250, 0.250)

Properties
V = 123 Å³/cell
ΔH_f (0 K) = -0.14 eV per atom
Fermi-level density of states = 7.40 states/eV/f.u.
crystal system = cubic
theoretical density = 9.04 Mg/m³
space-group type = F-43m, No. 216



(11)
Density functional theory data (PBE) for BaPr2Au after structural relaxation.

a b c (Å): 4.618 4.618 9.529
angles (deg): 75.98 75.98 60.00
Element x y z (fractional)
Au (0.000, 0.000, 0.000)
Pr (0.717, 0.717, 0.849)
Ba (0.500, 0.500, 0.500)
Pr (0.283, 0.283, 0.151)

Properties
V = 169 Å³/cell
ΔE to the lowest computed polymorph = 99 meV/atom
ΔH_f (0 K) = -0.16 eV per atom
Fermi-level density of states = 8.58 states/eV/f.u.
crystal system = trigonal
theoretical density = 6.06 Mg/m³
space-group type = R-3m, No. 166



(12)
Density functional theory data (PBE) for Sm12Mg2Sc5 after structural relaxation.

a b c (Å): 9.105 8.891 8.325
angles (deg): 91.54 90.00 120.80
Element x y z (fractional)
Sm (0.338, 0.305, 0.234)
Sc (0.701, 0.401, 0.026)
Sc (0.000, 0.000, 0.500)
Sm (0.033, 0.695, 0.766)
Sc (0.299, 0.599, 0.974)
Sc (0.769, 0.538, 0.424)
Sm (0.916, 0.831, 0.122)
Mg (0.336, 0.000, 0.000)
Sm (0.563, 0.126, 0.338)
Sc (0.231, 0.462, 0.576)
Sm (0.822, 0.253, 0.672)
Sm (0.662, 0.695, 0.766)
Sm (0.178, 0.747, 0.328)
Sm (0.437, 0.874, 0.662)
Mg (0.664, 0.000, 0.000)
Sm (0.967, 0.305, 0.234)
Sm (0.432, 0.253, 0.672)
Sm (0.084, 0.169, 0.878)
Sm (0.568, 0.747, 0.328)

Properties
V = 579 Å³/cell
ΔH_f (0 K) = 0.13 eV per atom
Fermi-level density of states = 32.09 states/eV/f.u.
crystal system = monoclinic
theoretical density = 5.96 Mg/m³
space-group type = C2/m, No. 12



(13)
Density functional theory data (PBE) for CoTe6Pt2 after structural relaxation.

a b c (Å): 4.019 6.326 11.697
angles (deg): 116.77 90.00 108.52
Element x y z (fractional)
Pt (0.663, 0.326, 0.830)
Te (0.668, 0.336, 0.063)
Te (0.332, 0.664, 0.937)
Te (0.994, 0.989, 0.715)
Te (0.006, 0.011, 0.285)
Te (0.346, 0.693, 0.405)
Te (0.654, 0.307, 0.595)
Co (0.000, 0.000, 0.500)
Pt (0.337, 0.674, 0.170)

Properties
V = 248 Å³/cell
ΔE to the lowest computed polymorph = 0 meV/atom
Fermi-level density of states = 2.70 states/eV/f.u.
crystal system = monoclinic
theoretical density = 8.13 Mg/m³
formation energy (no corrections) = -2.8 eV/f.u.
space-group type = C2/m, No. 12



(14)
Density functional theory data (PBE) for BaPr4Sn15 after structural relaxation.

a b c (Å): 4.823 4.823 24.210
angles (deg): 90.00 90.00 90.00
Element x y z (fractional)
Pr (0.000, 0.000, 0.205)
Sn (0.500, 0.000, 0.697)
Sn (0.500, 0.500, 0.000)
Sn (0.500, 0.500, 0.402)
Sn (0.000, 0.500, 0.697)
Sn (0.500, 0.000, 0.303)
Pr (0.000, 0.000, 0.402)
Sn (0.000, 0.500, 0.106)
Sn (0.000, 0.500, 0.303)
Pr (0.000, 0.000, 0.795)
Ba (0.000, 0.000, 0.000)
Sn (0.500, 0.000, 0.106)
Sn (0.500, 0.500, 0.203)
Sn (0.000, 0.500, 0.500)
Sn (0.000, 0.500, 0.894)
Sn (0.500, 0.000, 0.500)
Sn (0.500, 0.000, 0.894)
Sn (0.500, 0.500, 0.598)
Sn (0.500, 0.500, 0.797)
Pr (0.000, 0.000, 0.598)

Properties
V = 563 Å³/cell
ΔH_f (0 K) = -0.48 eV per atom
Fermi-level density of states = 11.70 states/eV/f.u.
crystal system = tetragonal
theoretical density = 7.32 Mg/m³
space-group type = P4/mmm, No. 123



(15)
Density functional theory data (PBE) for CoTcP after structural relaxation.

a b c (Å): 3.829 3.829 3.829
angles (deg): 60.00 60.00 60.00
Last column: magnetic moment on the atom in μB.
Element x y z (fractional)
Co (0.500, 0.500, 0.500)  0.42
P (0.750, 0.750, 0.750)  -0.01
Tc (0.000, 0.000, 0.000)  0.05

Properties
V = 40 Å³/cell
ΔE to the lowest computed polymorph = 118 meV/atom
ΔH_f (0 K) = -0.35 eV per atom
Fermi-level density of states = 3.19 states/eV/f.u.
crystal system = cubic
theoretical density = 7.86 Mg/m³
space-group type = F-43m, No. 216



(16)
Density functional theory data (PBE) for Tm6Bi2PbSe3 after structural relaxation.

a b c (Å): 4.237 8.449 9.444
angles (deg): 102.52 102.96 90.00
Element x y z (fractional)
Tm (0.338, 0.405, 0.676)
Bi (0.833, 0.665, 0.666)
Tm (0.668, 0.071, 0.335)
Se (0.168, 0.834, 0.337)
Tm (0.332, 0.929, 0.665)
Tm (0.662, 0.595, 0.324)
Se (0.832, 0.166, 0.663)
Bi (0.167, 0.335, 0.334)
Pb (0.500, 0.000, 0.000)
Se (0.500, 0.500, 0.000)
Tm (0.996, 0.253, 0.991)
Tm (0.004, 0.747, 0.009)

Properties
V = 321 Å³/cell
Fermi-level density of states = 4.31 states/eV/f.u.
crystal system = monoclinic
theoretical density = 9.70 Mg/m³
formation energy (no corrections) = -13.7 eV/f.u.
space-group type = C2/m, No. 12



(17)
Density functional theory data (PBE) for UNi2Pd after structural relaxation.

a b c (Å): 3.076 3.076 6.336
angles (deg): 90.00 90.00 90.00
Element x y z (fractional)
Pd (0.500, 0.500, 0.000)
U (0.500, 0.500, 0.500)
Ni (0.000, 0.000, 0.236)
Ni (0.000, 0.000, 0.764)

Properties
V = 60 Å³/cell
ΔH_f (0 K) = -0.11 eV per atom
Fermi-level density of states = 2.67 states/eV/f.u.
crystal system = tetragonal
theoretical density = 12.79 Mg/m³
space-group type = P4/mmm, No. 123



(18)
Density functional theory data (PBE) for Zr6TlCo2 after structural relaxation.

a b c (Å): 7.865 7.865 7.865
angles (deg): 101.74 112.44 114.51
Element x y z (fractional)
Zr (0.307, 0.982, 0.675)
Zr (0.490, 0.302, 0.189)
Tl (0.000, 0.500, 0.500)
Zr (0.792, 0.237, 0.030)
Zr (0.887, 0.698, 0.189)
Zr (0.307, 0.632, 0.325)
Zr (0.113, 0.302, 0.811)
Co (0.351, 0.000, 0.351)
Zr (0.693, 0.018, 0.325)
Zr (0.510, 0.698, 0.811)
Co (0.649, 0.000, 0.649)
Zr (0.693, 0.368, 0.675)
Co (0.500, 0.624, 0.124)
Zr (0.208, 0.237, 0.445)
Zr (0.208, 0.763, 0.970)
Tl (0.000, 0.000, 0.000)
Co (0.500, 0.376, 0.876)
Zr (0.792, 0.763, 0.555)

Properties
V = 369 Å³/cell
ΔH_f (0 K) = -0.14 eV per atom
Fermi-level density of states = 11.36 states/eV/f.u.
crystal system = orthorhombic
theoretical density = 7.82 Mg/m³
space-group type = Immm, No. 71



(19)
Density functional theory data (PBE) for Sc3SiTc after structural relaxation.

a b c (Å): 4.918 4.918 4.918
angles (deg): 90.00 90.00 90.00
Element x y z (fractional)
Sc (0.000, 0.000, 0.500)
Sc (0.500, 0.000, 0.000)
Sc (0.000, 0.500, 0.000)
Si (0.500, 0.500, 0.500)
Tc (0.000, 0.000, 0.000)

Properties
V = 119 Å³/cell
ΔE to the lowest computed polymorph = 0 meV/atom
Fermi-level density of states = 0.43 states/eV/f.u.
crystal system = cubic
theoretical density = 3.64 Mg/m³
formation energy (no corrections) = 1.3 eV/f.u.
space-group type = Pm-3m, No. 221



(20)
Density functional theory data (PBE) for HfNbCrBi2 after structural relaxation.

a b c (Å): 5.475 5.075 5.475
angles (deg): 90.00 90.00 90.00
Last column: magnetic moment on the atom in μB.
Element x y z (fractional)
Bi (0.500, 0.000, 0.000)  0.06
Bi (0.000, 0.000, 0.500)  0.11
Cr (0.500, 0.500, 0.500)  -4.14
Nb (0.000, 0.000, 0.000)  -0.11
Hf (0.000, 0.500, 0.000)  0.04

Properties
V = 152 Å³/cell
ΔH_f (0 K) = 1.03 eV per atom
Fermi-level density of states = 4.07 states/eV/f.u.
crystal system = tetragonal
theoretical density = 8.09 Mg/m³
space-group type = P4/mmm, No. 123